A plane-wave DFT calculation with PBE-GGA was carried out for Ba2SrHf after structural relaxation.

Lattice parameters (Å, degrees): 3.717 3.717 14.114 82.43 82.43 60.00
Each line ends with the local moment (μB).
Element x y z (fractional)
Ba  0.922  0.922  0.235  0.08
Ba  0.078  0.078  0.765  0.08
Sr  0.500  0.500  0.500  -0.01
Hf  0.000  0.000  0.000  0.34

Computed properties:
- Space-group type: R-3m, No. 166
- E_form: 0.776 eV per atom
- Magnetization: 0.7 μB/f.u.
- Calculated density: 5.38 g/cm3